Record 1
Density functional theory data (GGA-PBE) for a relaxed structure of Rb2YZn2S4.

## Properties
Formation energy (no corrections) ... -1.16 eV/atom
E_tot ... -4.21 eV per atom

a = 15.9495 Å, b = 3.9175 Å, c = 8.1139 Å
α = 90.00°, β = 113.00°, γ = 90.00°
Space group C2/m (No. 12)
One atom of each set of equivalent atoms:
Rb: 0.1286 0.0000 0.0592 (multiplicity 4)
Y: 0.0000 0.0000 0.5000 (multiplicity 2)
Zn: 0.1827 0.5000 0.5209 (multiplicity 4)
S: 0.0339 0.5000 0.2923 (multiplicity 4)
S: 0.1862 0.0000 0.7012 (multiplicity 4)

---

Record 2
Density functional theory data (GGA-PBE) for a relaxed structure of AlPRuCl2.

## Properties
Excess energy over the best structure of this formula in the dataset ... 0.000 eV/atom
Formation energy (no corrections) ... 0.16 eV/atom
E_tot ... -4.26 eV per atom

a = 5.0265 Å, b = 5.0265 Å, c = 4.4553 Å
α = 90.00°, β = 90.00°, γ = 90.00°
Space group P4/mmm (No. 123)
One atom of each set of equivalent atoms:
Al: 0.0000 0.0000 0.0000 (multiplicity 1)
P: 0.5000 0.5000 0.0000 (multiplicity 1)
Ru: 0.5000 0.5000 0.5000 (multiplicity 1)
Cl: 0.0000 0.5000 0.5000 (multiplicity 2)

---

Record 3
Density functional theory data (GGA-PBE) for a relaxed structure of OsPdSN.

## Properties
Excess energy over the best structure of this formula in the dataset ... 0.121 eV/atom
Formation energy (no corrections) ... 0.30 eV/atom
E_tot ... -6.92 eV per atom

a = 5.6972 Å, b = 3.2959 Å, c = 6.7274 Å
α = 90.00°, β = 106.20°, γ = 90.00°
Space group Cm (No. 8)
One atom of each set of equivalent atoms:
Os: 0.0000 0.0000 0.0000 (multiplicity 2)
Pd: 0.4688 0.0000 0.4052 (multiplicity 2)
S: 0.0869 0.5000 0.7586 (multiplicity 2)
N: 0.3660 0.0000 0.0977 (multiplicity 2)

---

Record 4
Density functional theory data (GGA-PBE) for a relaxed structure of CaNd5Hg4.

## Properties
E_tot ... -3.06 eV per atom

a = 3.8792 Å, b = 3.8792 Å, c = 20.1371 Å
α = 90.00°, β = 90.00°, γ = 90.00°
Space group P4/mmm (No. 123)
One atom of each set of equivalent atoms:
Ca: 0.0000 0.0000 0.0000 (multiplicity 1)
Nd: 0.5000 0.5000 0.1304 (multiplicity 2)
Nd: 0.5000 0.5000 0.3140 (multiplicity 2)
Nd: 0.5000 0.5000 0.5000 (multiplicity 1)
Hg: 0.0000 0.0000 0.2159 (multiplicity 2)
Hg: 0.0000 0.0000 0.4062 (multiplicity 2)

---

Record 5
Density functional theory data (GGA-PBE) for a relaxed structure of TlZnCo2.

## Properties
Excess energy over the best structure of this formula in the dataset ... 0.090 eV/atom
E_tot ... -4.08 eV per atom

a = 2.9634 Å, b = 4.0279 Å, c = 5.4035 Å
α = 90.00°, β = 105.48°, γ = 90.00°
Space group Pm (No. 6)
One atom of each set of equivalent atoms:
Tl: 0.0000 0.0000 0.0000 (multiplicity 1)
Zn: 0.6803 0.5000 0.3528 (multiplicity 1)
Co: 0.2637 0.0000 0.5257 (multiplicity 1)
Co: 0.3740 0.5000 0.7447 (multiplicity 1)